(1)
Zn3Pt13 | PBE | optimized geometry

Summary:
- E_form (meV/atom) = -236
- E_tot (eV per cell) = -86.13
- crystal system = orthorhombic
- N(E_F) (states/eV/f.u.) = 22.49
- volume (Å³ per cell) = 245.5
- magnetization (μB/f.u.) = 0.00

abc: 7.8602 5.5889 5.5889
angles: 89.63 90.00 90.00
Element x y z (fractional)
Zn: 0.0000 0.0000 0.0000
Zn: 0.2567 0.2640 0.2640
Zn: 0.7433 0.2640 0.2640
Pt: 0.0000 0.0178 0.4917
Pt: 0.0000 0.4917 0.0178
Pt: 0.0000 0.5102 0.5102
Pt: 0.2442 0.7635 0.7635
Pt: 0.2473 0.2599 0.7634
Pt: 0.2473 0.7634 0.2599
Pt: 0.5000 0.0112 0.0112
Pt: 0.5000 0.0107 0.5116
Pt: 0.5000 0.5093 0.5093
Pt: 0.5000 0.5116 0.0107
Pt: 0.7527 0.2599 0.7634
Pt: 0.7527 0.7634 0.2599
Pt: 0.7558 0.7635 0.7635



(2)
LaPb6ClO7 | PBE | optimized geometry

Summary:
- E_tot (eV per cell) = -173.67
- crystal system = monoclinic
- N(E_F) (states/eV/f.u.) = 0.00
- volume (Å³ per cell) = 686.4
- magnetization (μB/f.u.) = 0.00

abc: 10.3107 10.3107 10.0067
angles: 115.44 115.44 46.91
Element x y z (fractional)
La: 0.0000 0.5000 0.0000
La: 0.5000 0.0000 0.0000
Pb: 0.0538 0.0538 0.8279
Pb: 0.0974 0.6311 0.4293
Pb: 0.1972 0.1972 0.2617
Pb: 0.3485 0.3485 0.8025
Pb: 0.3689 0.9026 0.5707
Pb: 0.4376 0.4376 0.2350
Pb: 0.5624 0.5624 0.7650
Pb: 0.6311 0.0974 0.4293
Pb: 0.6515 0.6515 0.1975
Pb: 0.8028 0.8028 0.7383
Pb: 0.9026 0.3689 0.5707
Pb: 0.9462 0.9462 0.1721
Cl: 0.2641 0.7359 0.0000
Cl: 0.7359 0.2641 0.0000
O: 0.0431 0.4802 0.7482
O: 0.1123 0.6692 0.2370
O: 0.1790 0.1790 0.0268
O: 0.3312 0.3312 0.0114
O: 0.3308 0.8877 0.7630
O: 0.3446 0.3446 0.3670
O: 0.4802 0.0431 0.7482
O: 0.5198 0.9569 0.2518
O: 0.6554 0.6554 0.6330
O: 0.6692 0.1123 0.2370
O: 0.6688 0.6688 0.9886
O: 0.8210 0.8210 0.9732
O: 0.8877 0.3308 0.7630
O: 0.9569 0.5198 0.2518



(3)
YMn3Ge | PBE | optimized geometry

Summary:
- E_form (meV/atom) = 449
- E_tot (eV per cell) = -36.35
- crystal system = cubic
- N(E_F) (states/eV/f.u.) = 8.27
- volume (Å³ per cell) = 114.1
- magnetization (μB/f.u.) = 10.15

abc: 4.8495 4.8495 4.8495
angles: 90.00 90.00 90.00
Element x y z (fractional)
Y: 0.0000 0.0000 0.0000
Mn: 0.0000 0.5000 0.5000
Mn: 0.5000 0.0000 0.5000
Mn: 0.5000 0.5000 0.0000
Ge: 0.5000 0.5000 0.5000